# Ni3H4Rh, relaxed, DFT GGA-PBE
data_Ni3H4Rh
_chemical_formula_sum 'Ni3 H4 Rh1'
_symmetry_space_group_name_H-M 'P 1'
_symmetry_Int_Tables_number 1
_cell_length_a 3.8212
_cell_length_b 3.8212
_cell_length_c 3.8212
_cell_angle_alpha 90.00
_cell_angle_beta 90.00
_cell_angle_gamma 90.00
loop_
_symmetry_equiv_pos_as_xyz
'x,y,z'
loop_
_atom_site_label
_atom_site_fract_x
_atom_site_fract_y
_atom_site_fract_z
H1 0.0000 0.5000 0.0000
H2 0.5000 0.0000 0.0000
H3 0.5000 0.5000 0.5000
H4 0.0000 0.0000 0.5000
Ni1 0.5000 0.0000 0.5000
Ni2 0.0000 0.5000 0.5000
Ni3 0.5000 0.5000 0.0000
Rh1 0.0000 0.0000 0.0000
# * SG: No. 221
# * VASP energy: -4.79 eV/atom
# * M_tot: 0.11 Bohr magnetons per cell